# 1
ZrAg2W after structural relaxation. Source: the Alexandria database, functional PBE.

a = 2.8433 Å, b = 2.8433 Å, c = 9.0509 Å
α = 90.00°, β = 90.00°, γ = 90.00°
Element x y z (fractional)
Ag  0.0000  0.0000  0.0089
Ag  0.5000  0.5000  0.2543
Zr  0.5000  0.5000  0.7449
W  0.0000  0.0000  0.4920

Computed properties:
E_form = 0.2504 eV/atom
theoretical density = 11.1 g cm⁻³


# 2
LaCu2F after structural relaxation. Source: the Alexandria database, functional PBE.

a = 8.3511 Å, b = 8.3511 Å, c = 6.3527 Å
α = 48.91°, β = 48.91°, γ = 90.00°
Element x y z (fractional)
Cu  0.3750  0.3887  0.7500
Cu  0.1387  0.6250  0.2500
Cu  0.8750  0.8613  0.7500
Cu  0.6113  0.1250  0.2500
F  0.5000  0.5000  0.0000
F  0.2500  0.7500  0.5000
La  0.7500  0.2500  0.5000
La  0.0000  0.0000  0.0000

Computed properties:
ΔE to the lowest computed polymorph = 0.0000 eV per atom
theoretical density = 5.8 g cm⁻³
formation energy without anion corrections = -1.017 eV/atom


# 3
K3NaIr2O6 after structural relaxation. Source: the Alexandria database, functional PBE.

a = 6.3484 Å, b = 6.3484 Å, c = 7.1436 Å
α = 90.00°, β = 90.00°, γ = 120.00°
Last column: magnetic moment on the atom in μB.
Element x y z (fractional)
Na  0.0000  0.0000  0.5000  0.00
K  0.6667  0.3333  0.2581  0.00
K  0.0000  0.0000  0.0000  0.01
K  0.3333  0.6667  0.7419  0.00
O  0.8316  0.1684  0.7264  0.12
O  0.1684  0.8316  0.2736  0.12
O  0.8316  0.6631  0.7264  0.12
O  0.6631  0.8316  0.2736  0.12
O  0.3369  0.1684  0.7264  0.12
O  0.1684  0.3369  0.2736  0.12
Ir  0.6667  0.3333  0.7304  0.52
Ir  0.3333  0.6667  0.2696  0.52

Computed properties:
theoretical density = 4.1 g cm⁻³
formation energy without anion corrections = -1.084 eV/atom


# 4
Zn2FeSe after structural relaxation. Source: the Alexandria database, functional PBE.

a = 4.6249 Å, b = 4.6249 Å, c = 6.0106 Å
α = 75.13°, β = 75.13°, γ = 36.51°
Last column: magnetic moment on the atom in μB.
Element x y z (fractional)
Fe  0.5446  0.5446  0.5848  1.74
Zn  0.7949  0.7949  0.7070  -0.04
Zn  0.0249  0.0249  0.9318  -0.04
Se  0.1356  0.1356  0.2764  -0.03

Computed properties:
theoretical density = 6.0 g cm⁻³
formation energy without anion corrections = 0.028 eV/atom


# 5
NpSc2In after structural relaxation. Source: the Alexandria database, functional PBE.

a = 5.1315 Å, b = 5.1315 Å, c = 5.1311 Å
α = 60.00°, β = 60.00°, γ = 60.00°
Last column: magnetic moment on the atom in μB.
Element x y z (fractional)
Sc  0.7499  0.7499  0.7503  0.57
Sc  0.2501  0.2501  0.2497  0.57
In  0.5000  0.5000  0.5000  -0.07
Np  0.0000  0.0000  0.0000  4.55

Computed properties:
E_form = 0.1403 eV/atom
ΔE to the lowest computed polymorph = 0.1613 eV per atom
theoretical density = 7.7 g cm⁻³


# 6
Sr2BeCu after structural relaxation. Source: the Alexandria database, functional PBE.

a = 5.3556 Å, b = 5.3558 Å, c = 3.7337 Å
α = 90.00°, β = 90.00°, γ = 90.02°
Element x y z (fractional)
Sr  0.5000  0.5000  0.0000
Sr  0.0000  0.0000  0.0000
Be  0.5000  0.0000  0.5000
Cu  0.0000  0.5000  0.5000

Computed properties:
E_form = 0.2954 eV/atom
theoretical density = 3.8 g cm⁻³


# 7
Rb2FeMoCl6 after structural relaxation. Source: the Alexandria database, functional PBE.

a = 7.3598 Å, b = 7.3598 Å, c = 6.9107 Å
α = 57.83°, β = 57.83°, γ = 90.00°
Last column: magnetic moment on the atom in μB.
Element x y z (fractional)
Cl  0.2413  0.2413  0.0000  0.03
Cl  0.7587  0.2413  0.0000  0.03
Cl  0.7587  0.7587  0.0000  0.03
Cl  0.2592  0.2592  0.4817  0.07
Cl  0.7408  0.7408  0.5183  0.07
Cl  0.2413  0.7587  0.0000  0.03
Rb  0.2500  0.7500  0.5000  0.00
Rb  0.7500  0.2500  0.5000  0.00
Fe  0.5000  0.5000  0.0000  3.01
Mo  0.0000  0.0000  0.0000  2.21

Computed properties:
theoretical density = 3.6 g cm⁻³
formation energy without anion corrections = -1.055 eV/atom


# 8
Y2Er2Tm15 after structural relaxation. Source: the Alexandria database, functional PBE.

a = 8.6100 Å, b = 8.6100 Å, c = 8.6100 Å
α = 79.77°, β = 79.77°, γ = 79.77°
Element x y z (fractional)
Tm  0.0000  0.0000  0.5000
Tm  0.0000  0.5000  0.0000
Tm  0.3006  0.6994  0.0000
Tm  0.6994  0.3006  0.0000
Tm  0.3006  0.0000  0.6994
Tm  0.5000  0.0000  0.0000
Tm  0.8528  0.3667  0.3667
Tm  0.3667  0.8528  0.3667
Tm  0.6333  0.6333  0.1472
Tm  0.1472  0.6333  0.6333
Tm  0.0000  0.3006  0.6994
Tm  0.3667  0.3667  0.8528
Tm  0.6994  0.0000  0.3006
Tm  0.6333  0.1472  0.6333
Tm  0.0000  0.6994  0.3006
Y  0.3235  0.3235  0.3235
Y  0.6765  0.6765  0.6765
Er  0.9006  0.9006  0.9006
Er  0.0994  0.0994  0.0994

Computed properties:
E_form = 0.2797 eV/atom
theoretical density = 8.3 g cm⁻³


# 9
LiP2Au3 after structural relaxation. Source: the Alexandria database, functional PBE.

a = 5.8569 Å, b = 5.8569 Å, c = 9.1837 Å
α = 90.00°, β = 90.00°, γ = 125.95°
Element x y z (fractional)
Au  0.8812  0.1188  0.7500
Au  0.3641  0.1313  0.7500
Au  0.6359  0.8687  0.2500
Au  0.1188  0.8812  0.2500
Au  0.8687  0.6359  0.7500
Au  0.1313  0.3641  0.2500
P  0.7312  0.2688  0.5463
P  0.7312  0.2688  0.9537
P  0.2688  0.7312  0.0463
P  0.2688  0.7312  0.4537
Li  0.0000  0.0000  0.0000
Li  0.0000  0.0000  0.5000

Computed properties:
E_form = 0.1312 eV/atom
theoretical density = 8.6 g cm⁻³


# 10
Ce2MgMn after structural relaxation. Source: the Alexandria database, functional PBE.

a = 3.1939 Å, b = 3.1939 Å, c = 8.9292 Å
α = 90.00°, β = 90.00°, γ = 90.00°
Element x y z (fractional)
Ce  0.0000  0.0000  0.8071
Ce  0.0000  0.0000  0.1929
Mg  0.5000  0.5000  0.5000
Mn  0.5000  0.5000  0.0000

Computed properties:
E_form = 0.1110 eV/atom
ΔE to the lowest computed polymorph = 0.0890 eV per atom
theoretical density = 6.6 g cm⁻³


# 11
LiCa2Cu2 after structural relaxation. Source: the Alexandria database, functional PBE.

a = 7.6604 Å, b = 7.6604 Å, c = 3.9866 Å
α = 90.00°, β = 90.00°, γ = 90.00°
Element x y z (fractional)
Ca  0.3233  0.1767  0.5000
Ca  0.6767  0.8233  0.5000
Ca  0.1767  0.6767  0.5000
Ca  0.8233  0.3233  0.5000
Li  0.0000  0.0000  0.0000
Li  0.5000  0.5000  0.0000
Cu  0.1144  0.3856  0.0000
Cu  0.6144  0.1144  0.0000
Cu  0.8856  0.6144  0.0000
Cu  0.3856  0.8856  0.0000

Computed properties:
E_form = -0.0850 eV/atom
ΔE to the lowest computed polymorph = 0.0152 eV per atom
theoretical density = 3.0 g cm⁻³


# 12
KMgHgI2 after structural relaxation. Source: the Alexandria database, functional PBE.

a = 6.1301 Å, b = 6.1301 Å, c = 5.5105 Å
α = 90.00°, β = 90.00°, γ = 90.00°
Element x y z (fractional)
Hg  0.0000  0.0000  0.5000
Mg  0.0000  0.0000  0.0000
K  0.5000  0.5000  0.5000
I  0.5000  0.0000  0.0000
I  0.0000  0.5000  0.0000

Computed properties:
theoretical density = 4.2 g cm⁻³
formation energy without anion corrections = -0.722 eV/atom


no.,final energy (eV/atom),total magnetization (μB per cell)
1,-6.5505,0.00
2,-4.7652,0.00
3,-5.4245,2.01
4,-3.5957,1.61
5,-6.9452,6.74
6,-2.5011,0.00
7,-4.2856,6.00
8,-4.4112,0.00
9,-3.6298,0.00
10,-5.5470,0.03
11,-2.9069,0.00
12,-1.9408,0.00